Below is a PBEsol-optimized structure of LiCa3OsO6, with properties calculated at the meta-GGA SCAN level.

a b c (Å): 6.4115 6.4115 6.4115
angles (deg): 91.90 91.90 91.90
Last column: nearest neighbours and their distance in Å.
Fractional positions:
Li  0.2500  0.2500  0.2500  6 O 2.21
Li  0.7500  0.7500  0.7500  6 O 2.21
Ca  0.1049  0.7500  0.3951  6 O 2.30-2.47
Ca  0.2500  0.6049  0.8951  6 O 2.30-2.47
Ca  0.3951  0.1049  0.7500  6 O 2.30-2.47
Ca  0.6049  0.8951  0.2500  6 O 2.30-2.47
Ca  0.7500  0.3951  0.1049  6 O 2.30-2.47
Ca  0.8951  0.2500  0.6049  6 O 2.30-2.47
Os  0.0000  0.0000  0.0000  6 O 1.97
Os  0.5000  0.5000  0.5000  6 O 1.97
O  0.0500  0.9217  0.7073  1 Os 1.97
O  0.0783  0.2927  0.9500  1 Os 1.97
O  0.2073  0.4217  0.5500  1 Os 1.97
O  0.2927  0.9500  0.0783  1 Os 1.97
O  0.4217  0.5500  0.2073  1 Os 1.97
O  0.4500  0.7927  0.5783  1 Os 1.97
O  0.5500  0.2073  0.4217  1 Os 1.97
O  0.5783  0.4500  0.7927  1 Os 1.97
O  0.7073  0.0500  0.9217  1 Os 1.97
O  0.7927  0.5783  0.4500  1 Os 1.97
O  0.9217  0.7073  0.0500  1 Os 1.97
O  0.9500  0.0783  0.2927  1 Os 1.97

***

Below is a PBEsol-optimized structure of LiCaP2O, with properties calculated at the meta-GGA SCAN level.

As for the density of states at the Fermi level: 0.66 states/eV per atom.

a b c (Å): 5.3127 5.3127 4.1742
angles (deg): 90.00 90.00 90.00
Last column: nearest neighbours and their distance in Å.
Fractional positions:
Li  0.0000  0.0000  0.0000  8 P 3.38, 4 O 3.76
Ca  0.5000  0.5000  0.5000  2 O 2.09
P  0.0000  0.5000  0.5000  2 Ca 2.66
P  0.5000  0.0000  0.5000  2 Ca 2.66
O  0.5000  0.5000  0.0000  2 Ca 2.09

***

Below is a PBEsol-optimized structure of LiCaPrTeO6, with properties calculated at the meta-GGA SCAN level.

As for the density of states at the Fermi level: 0.00 states/eV per atom.

a b c (Å): 5.4765 5.6831 9.4581
angles (deg): 90.00 124.81 90.00
Last column: nearest neighbours and their distance in Å.
Fractional positions:
Li  0.0000  0.2377  0.0000  6 O 2.06-2.23
Li  0.0000  0.7623  0.5000  6 O 2.06-2.23
Ca  0.2357  0.1942  0.7509  6 O 2.34-2.62
Ca  0.2357  0.8058  0.2509  6 O 2.34-2.62
Pr  0.7671  0.3086  0.2536  6 O 2.38-2.61
Pr  0.7671  0.6914  0.7536  6 O 2.38-2.61
Te  0.5007  0.2442  0.5024  6 O 1.93-1.95
Te  0.5007  0.7558  0.0024  6 O 1.93-1.95
O  0.1693  0.0561  0.4565  1 Te 1.93, 1 Li 2.06
O  0.1693  0.9439  0.9565  1 Te 1.93, 1 Li 2.06
O  0.2620  0.4722  0.9495  1 Te 1.95
O  0.2620  0.5278  0.4495  1 Te 1.95
O  0.3521  0.2155  0.2620  1 Te 1.94, 1 Li 2.10
O  0.3521  0.7845  0.7620  1 Te 1.94, 1 Li 2.10
O  0.6455  0.2768  0.7415  1 Te 1.93, 1 Li 2.09
O  0.6455  0.7232  0.2415  1 Te 1.93, 1 Li 2.09
O  0.7370  0.0358  0.0515  1 Te 1.93, 1 Li 2.10
O  0.7370  0.9642  0.5515  1 Te 1.93, 1 Li 2.10
O  0.8309  0.4360  0.5472  1 Te 1.94
O  0.8309  0.5640  0.0472  1 Te 1.94

***

Electronic total energy readings, ordered: -0.562 -0.278 -0.572 Ha/atom